Computed, not measured: an optimized crystal structure of YLu2Zr at the PBE level of DFT.

Theoretical density   7.83 g/cm3
Space group   R-3m (166)
D(E_F)   6.01 states/eV/f.u.
Volume   28.11 Å³ per atom
Energy of formation   0.073 eV per atom
Energy relative to the lowest polymorph listed for this composition   0 meV per atom

```
YLu2Zr
1.0
3.4055 0.0000 0.0000
-1.7028 2.9492 0.0000
0.0000 0.0000 33.5794
Y Lu Zr
3 6 3
direct
0.0000 0.0000 0.0000
0.3333 0.6667 0.6667
0.6667 0.3333 0.3333
0.0000 0.0000 0.2446
0.0000 0.0000 0.7554
0.3333 0.6667 0.4221
0.3333 0.6667 0.9113
0.6667 0.3333 0.0887
0.6667 0.3333 0.5779
0.0000 0.0000 0.5000
0.3333 0.6667 0.1667
0.6667 0.3333 0.8333
```

***

Computed, not measured: an optimized crystal structure of Y2LuZr at the PBE level of DFT.

Theoretical density   6.45 g/cm3
Space group   P4/mmm (123)
D(E_F)   6.00 states/eV/f.u.
Volume   28.57 Å³ per atom
Energy of formation   0.097 eV per atom
Energy relative to the lowest polymorph listed for this composition   0 meV per atom

```
Y2LuZr
1.0
4.8569 0.0000 0.0000
0.0000 4.8569 0.0000
0.0000 0.0000 4.8440
Y Lu Zr
2 1 1
direct
0.0000 0.5000 0.0000
0.5000 0.0000 0.0000
0.0000 0.0000 0.5000
0.5000 0.5000 0.5000
```

***

Here are the calculated electronic total energy numbers, same order: -5.94 -6.40 (eV/atom).